An optimized crystal structure of RbMoP2O. Source: Alexandria, functional PBE with a Hubbard U.

The structure in POSCAR format:
```
RbMoP2O
1.0
4.955 0.000 0.000
0.000 4.955 0.000
0.000 0.000 3.984
P Mo O Rb
2 1 1 1
direct
0.000 0.500 0.000
0.500 0.000 0.000
0.000 0.000 0.000
0.000 0.000 0.500
0.500 0.500 0.500
```

Space group: No. 123
Distance to the lowest polymorph of the same formula: 0 meV/atom
E: -4.8304 eV/atom
M_tot: 0.10 μB per cell